Computed, not measured: an optimized crystal structure of LiBe2P at the GGA-PBEsol level of DFT.

The structure in POSCAR format:
```
LiBe2P
1.0
-0.766 1.746 1.783
-1.121 -0.804 2.216
6.281 -0.079 4.688
P Be Li
1 2 1
direct
0.000 0.000 0.000 P
0.257 0.257 0.230 Be
0.743 0.743 0.770 Be
0.500 0.500 0.500 Li
```

Output
Energy relative to the elements = 350.0 meV/atom
Total DFT energy (no corrections) = -3.59 eV per atom